Below is MnPtNF2 after structural relaxation, with properties calculated at the PBE with a Hubbard U level.

Cell lengths 3.771, 3.771, 4.479 Å; angles 90.00, 90.00, 90.00 degrees
Space group P4/mmm (No. 123)
Asymmetric unit:
1 Mn 0.000 0.000 0.000 x1
2 Pt 0.500 0.500 0.500 x1
3 N 0.000 0.000 0.500 x1
4 F 0.000 0.500 0.000 x2

VASP energy ... -26.45 eV per cell
E above lowest polymorph ... 0.020 eV/atom
Size of the total moment ... 4.38 μB per formula unit